(1)
Density functional theory data (PBE) for TbCdSn3 after structural relaxation.

Cell and atoms, written as CIF:
```
data_TbCdSn3
_chemical_formula_sum 'Tb4 Cd4 Sn12'
_symmetry_space_group_name_H-M 'P b c m'
_symmetry_Int_Tables_number 57
_symmetry_space_group_name_Hall '-P 2c 2b'
_cell_length_a 13.116
_cell_length_b 6.278
_cell_length_c 6.300
_cell_angle_alpha 90.00
_cell_angle_beta 90.00
_cell_angle_gamma 90.00
loop_
_atom_site_label
_atom_site_type_symbol
_atom_site_fract_x
_atom_site_fract_y
_atom_site_fract_z
Tb1 Tb 0.189 0.008 0.250
Cd1 Cd 0.383 0.250 0.000
Sn1 Sn 0.000 0.250 0.000
Sn2 Sn 0.224 0.513 0.250
Sn3 Sn 0.418 0.697 0.750
```

***

(2)
Density functional theory data (PBE) for LaNi2Ir after structural relaxation.

Cell and atoms, written as CIF:
```
data_LaNi2Ir
_chemical_formula_sum 'La4 Ni8 Ir4'
_symmetry_space_group_name_H-M 'I -4 2 d'
_symmetry_Int_Tables_number 122
_symmetry_space_group_name_Hall 'I -4 2bw'
_cell_length_a 4.365
_cell_length_b 4.365
_cell_length_c 17.173
_cell_angle_alpha 90.00
_cell_angle_beta 90.00
_cell_angle_gamma 90.00
loop_
_atom_site_label
_atom_site_type_symbol
_atom_site_fract_x
_atom_site_fract_y
_atom_site_fract_z
La1 La 0.000 0.000 0.000
Ni1 Ni 0.060 0.250 0.625
Ir1 Ir 0.000 0.000 0.500
```

***

(3)
Density functional theory data (PBE) for HoNiPt after structural relaxation.

Cell and atoms, written as CIF:
```
data_HoNiPt
_chemical_formula_sum 'Ho2 Ni2 Pt2'
_symmetry_space_group_name_H-M 'I 4 m m'
_symmetry_Int_Tables_number 107
_symmetry_space_group_name_Hall 'I 4 -2'
_cell_length_a 3.459
_cell_length_b 3.459
_cell_length_c 8.888
_cell_angle_alpha 90.00
_cell_angle_beta 90.00
_cell_angle_gamma 90.00
loop_
_atom_site_label
_atom_site_type_symbol
_atom_site_fract_x
_atom_site_fract_y
_atom_site_fract_z
Ho1 Ho 0.000 0.000 0.000
Ni1 Ni 0.000 0.000 0.324
Pt1 Pt 0.000 0.000 0.675
```

***

(4)
Density functional theory data (PBE) for Dy4Ir after structural relaxation.

Cell and atoms, written as CIF:
```
data_Dy4Ir
_chemical_formula_sum 'Dy4 Ir1'
_symmetry_space_group_name_H-M 'P m -3 m'
_symmetry_Int_Tables_number 221
_symmetry_space_group_name_Hall '-P 4 2 3'
_cell_length_a 5.426
_cell_length_b 5.426
_cell_length_c 5.426
_cell_angle_alpha 90.00
_cell_angle_beta 90.00
_cell_angle_gamma 90.00
loop_
_atom_site_label
_atom_site_type_symbol
_atom_site_fract_x
_atom_site_fract_y
_atom_site_fract_z
Dy1 Dy 0.000 0.000 0.000
Dy2 Dy 0.000 0.500 0.500
Ir1 Ir 0.500 0.500 0.500
```

***

(5)
Density functional theory data (PBE) for KHoPdF6 after structural relaxation.

Cell and atoms, written as CIF:
```
data_KHoPdF6
_chemical_formula_sum 'K1 Ho1 Pd1 F6'
_symmetry_space_group_name_H-M 'P 1'
_symmetry_Int_Tables_number 1
_symmetry_space_group_name_Hall 'P 1'
_cell_length_a 5.718
_cell_length_b 5.768
_cell_length_c 5.778
_cell_angle_alpha 92.97
_cell_angle_beta 113.00
_cell_angle_gamma 93.19
loop_
_atom_site_label
_atom_site_type_symbol
_atom_site_fract_x
_atom_site_fract_y
_atom_site_fract_z
K1 K 0.000 0.000 0.000
Ho1 Ho 0.662 0.498 0.337
Pd1 Pd 0.312 0.499 0.688
F1 F 0.305 0.331 0.371
F2 F 0.353 0.660 0.023
F3 F 0.630 0.669 0.690
F4 F 0.654 0.226 0.087
F5 F 0.919 0.764 0.337
F6 F 0.974 0.335 0.648
```

Output
Uncorrected formation energy = -25.2 eV per formula unit

***

(6)
Density functional theory data (PBE) for K2LiLa after structural relaxation.

Cell and atoms, written as CIF:
```
data_K2LiLa
_chemical_formula_sum 'K4 Li2 La2'
_symmetry_space_group_name_H-M 'C 1 2/m 1'
_symmetry_Int_Tables_number 12
_symmetry_space_group_name_Hall '-C 2y'
_cell_length_a 7.763
_cell_length_b 13.950
_cell_length_c 3.626
_cell_angle_alpha 90.00
_cell_angle_beta 114.39
_cell_angle_gamma 90.00
loop_
_atom_site_label
_atom_site_type_symbol
_atom_site_fract_x
_atom_site_fract_y
_atom_site_fract_z
K1 K 0.250 0.250 0.000
Li1 Li 0.000 0.000 0.500
La1 La 0.000 0.500 0.500
```

***

(7)
Density functional theory data (PBE) for Mn2CrCl after structural relaxation.

Cell and atoms, written as CIF:
```
data_Mn2CrCl
_chemical_formula_sum 'Mn4 Cr2 Cl2'
_symmetry_space_group_name_H-M 'I m m m'
_symmetry_Int_Tables_number 71
_symmetry_space_group_name_Hall '-I 2 2'
_cell_length_a 3.001
_cell_length_b 4.911
_cell_length_c 8.431
_cell_angle_alpha 90.00
_cell_angle_beta 90.00
_cell_angle_gamma 90.00
loop_
_atom_site_label
_atom_site_type_symbol
_atom_site_fract_x
_atom_site_fract_y
_atom_site_fract_z
Mn1 Mn 0.000 0.000 0.243
Cr1 Cr 0.000 0.500 0.000
Cl1 Cl 0.000 0.500 0.500
```

Output
Uncorrected formation energy = 1.9 eV per formula unit

***

(8)
Density functional theory data (PBE) for ZrSc2Fe after structural relaxation.

Cell and atoms, written as CIF:
```
data_ZrSc2Fe
_chemical_formula_sum 'Zr1 Sc2 Fe1'
_symmetry_space_group_name_H-M 'P 4 m m'
_symmetry_Int_Tables_number 99
_symmetry_space_group_name_Hall 'P 4 -2'
_cell_length_a 3.223
_cell_length_b 3.223
_cell_length_c 7.756
_cell_angle_alpha 90.00
_cell_angle_beta 90.00
_cell_angle_gamma 90.00
loop_
_atom_site_label
_atom_site_type_symbol
_atom_site_fract_x
_atom_site_fract_y
_atom_site_fract_z
Zr1 Zr 0.000 0.000 0.000
Sc1 Sc 0.000 0.000 0.389
Sc2 Sc 0.500 0.500 0.714
Fe1 Fe 0.500 0.500 0.193
```

***

(9)
Density functional theory data (PBE) for CeEr5 after structural relaxation.

Cell and atoms, written as CIF:
```
data_CeEr5
_chemical_formula_sum 'Ce2 Er10'
_symmetry_space_group_name_H-M 'C 1 2/m 1'
_symmetry_Int_Tables_number 12
_symmetry_space_group_name_Hall '-C 2y'
_cell_length_a 11.079
_cell_length_b 4.993
_cell_length_c 6.985
_cell_angle_alpha 90.00
_cell_angle_beta 108.19
_cell_angle_gamma 90.00
loop_
_atom_site_label
_atom_site_type_symbol
_atom_site_fract_x
_atom_site_fract_y
_atom_site_fract_z
Ce1 Ce 0.000 0.000 0.000
Er1 Er 0.000 0.000 0.500
Er2 Er 0.166 0.500 0.331
Er3 Er 0.167 0.500 0.836
```

***

(10)
Density functional theory data (PBE) for ScSbPtPb2 after structural relaxation.

Cell and atoms, written as CIF:
```
data_ScSbPtPb2
_chemical_formula_sum 'Sc1 Sb1 Pt1 Pb2'
_symmetry_space_group_name_H-M 'P 4/m m m'
_symmetry_Int_Tables_number 123
_symmetry_space_group_name_Hall '-P 4 2'
_cell_length_a 5.527
_cell_length_b 5.527
_cell_length_c 5.322
_cell_angle_alpha 90.00
_cell_angle_beta 90.00
_cell_angle_gamma 90.00
loop_
_atom_site_label
_atom_site_type_symbol
_atom_site_fract_x
_atom_site_fract_y
_atom_site_fract_z
Sc1 Sc 0.000 0.000 0.000
Sb1 Sb 0.000 0.000 0.500
Pt1 Pt 0.500 0.500 0.500
Pb1 Pb 0.000 0.500 0.000
```

Output
Uncorrected formation energy = 3.6 eV per formula unit

***

(11)
Density functional theory data (PBE) for Tb7Pr3Ho after structural relaxation.

Cell and atoms, written as CIF:
```
data_Tb7Pr3Ho
_chemical_formula_sum 'Tb7 Pr3 Ho1'
_symmetry_space_group_name_H-M 'P 3 m 1'
_symmetry_Int_Tables_number 156
_symmetry_space_group_name_Hall 'P 3 -2"'
_cell_length_a 7.1168
_cell_length_b 7.1168
_cell_length_c 8.7458
_cell_angle_alpha 90.00
_cell_angle_beta 90.00
_cell_angle_gamma 120.00
loop_
_atom_site_label
_atom_site_type_symbol
_atom_site_fract_x
_atom_site_fract_y
_atom_site_fract_z
Tb1 Tb 0.0000 0.0000 0.0000
Tb2 Tb 0.1659 0.3317 0.6780
Tb3 Tb 0.5008 0.0017 0.0020
Pr1 Pr 0.3335 0.1667 0.3404
Ho1 Ho 0.6667 0.3333 0.6805
```

***

(12)
Density functional theory data (PBE) for AcPmSn4 after structural relaxation.

Cell and atoms, written as CIF:
```
data_AcPmSn4
_chemical_formula_sum 'Ac4 Pm4 Sn16'
_symmetry_space_group_name_H-M 'C m c m'
_symmetry_Int_Tables_number 63
_symmetry_space_group_name_Hall '-C 2c 2'
_cell_length_a 4.827
_cell_length_b 22.737
_cell_length_c 6.663
_cell_angle_alpha 90.00
_cell_angle_beta 90.00
_cell_angle_gamma 90.00
loop_
_atom_site_label
_atom_site_type_symbol
_atom_site_fract_x
_atom_site_fract_y
_atom_site_fract_z
Ac1 Ac 0.000 0.223 0.250
Pm1 Pm 0.000 0.069 0.750
Sn1 Sn 0.000 0.076 0.250
Sn2 Sn 0.000 0.355 0.002
Sn3 Sn 0.000 0.500 0.000
```

***

(13)
Density functional theory data (PBE) for ZrCdOsO6 after structural relaxation.

Cell and atoms, written as CIF:
```
data_ZrCdOsO6
_chemical_formula_sum 'Zr2 Cd2 Os2 O12'
_symmetry_space_group_name_H-M 'P -3 1 c'
_symmetry_Int_Tables_number 163
_symmetry_space_group_name_Hall '-P 3 2c'
_cell_length_a 5.3806
_cell_length_b 5.3806
_cell_length_c 9.5938
_cell_angle_alpha 90.00
_cell_angle_beta 90.00
_cell_angle_gamma 120.00
loop_
_atom_site_label
_atom_site_type_symbol
_atom_site_fract_x
_atom_site_fract_y
_atom_site_fract_z
Zr1 Zr 0.3333 0.6667 0.2500
Cd1 Cd 0.0000 0.0000 0.0000
Os1 Os 0.3333 0.6667 0.7500
O1 O 0.0238 0.3745 0.6375
```

Output
Uncorrected formation energy = -15.2 eV per formula unit

***

(14)
Density functional theory data (PBE) for Fe2TeP after structural relaxation.

Cell and atoms, written as CIF:
```
data_Fe2TeP
_chemical_formula_sum 'Fe2 Te1 P1'
_symmetry_space_group_name_H-M 'P 4 m m'
_symmetry_Int_Tables_number 99
_symmetry_space_group_name_Hall 'P 4 -2'
_cell_length_a 3.148
_cell_length_b 3.148
_cell_length_c 6.874
_cell_angle_alpha 90.00
_cell_angle_beta 90.00
_cell_angle_gamma 90.00
loop_
_atom_site_label
_atom_site_type_symbol
_atom_site_fract_x
_atom_site_fract_y
_atom_site_fract_z
Fe1 Fe 0.000 0.000 0.000
Fe2 Fe 0.500 0.500 0.213
Te1 Te 0.500 0.500 0.791
P1 P 0.000 0.000 0.341
```

Output
Uncorrected formation energy = 0.3 eV per formula unit

***

(15)
Density functional theory data (PBE) for TiMnPOsS after structural relaxation.

Cell and atoms, written as CIF:
```
data_TiMnPOsS
_chemical_formula_sum 'Ti3 Mn3 P3 Os3 S3'
_symmetry_space_group_name_H-M 'R 3 m'
_symmetry_Int_Tables_number 160
_symmetry_space_group_name_Hall 'R 3 -2"'
_cell_length_a 3.7889
_cell_length_b 3.7889
_cell_length_c 17.5076
_cell_angle_alpha 90.00
_cell_angle_beta 90.00
_cell_angle_gamma 120.00
loop_
_atom_site_label
_atom_site_type_symbol
_atom_site_fract_x
_atom_site_fract_y
_atom_site_fract_z
Ti1 Ti 0.0000 0.0000 0.0000
Mn1 Mn 0.0000 0.0000 0.7828
P1 P 0.0000 0.0000 0.2461
Os1 Os 0.0000 0.0000 0.5512
S1 S 0.0000 0.0000 0.4154
```

Output
Uncorrected formation energy = -2.4 eV per formula unit

***

(16)
Density functional theory data (PBE) for LiTaAg2Sn after structural relaxation.

Cell and atoms, written as CIF:
```
data_LiTaAg2Sn
_chemical_formula_sum 'Li1 Ta1 Ag2 Sn1'
_symmetry_space_group_name_H-M 'P 4/m m m'
_symmetry_Int_Tables_number 123
_symmetry_space_group_name_Hall '-P 4 2'
_cell_length_a 4.361
_cell_length_b 4.361
_cell_length_c 4.784
_cell_angle_alpha 90.00
_cell_angle_beta 90.00
_cell_angle_gamma 90.00
loop_
_atom_site_label
_atom_site_type_symbol
_atom_site_fract_x
_atom_site_fract_y
_atom_site_fract_z
Li1 Li 0.000 0.000 0.000
Ta1 Ta 0.500 0.500 0.500
Ag1 Ag 0.000 0.500 0.000
Sn1 Sn 0.000 0.000 0.500
```

***

(17)
Density functional theory data (PBE) for LiAcIn2 after structural relaxation.

Cell and atoms, written as CIF:
```
data_LiAcIn2
_chemical_formula_sum 'Li4 Ac4 In8'
_symmetry_space_group_name_H-M 'P n m a'
_symmetry_Int_Tables_number 62
_symmetry_space_group_name_Hall '-P 2ac 2n'
_cell_length_a 8.655
_cell_length_b 7.684
_cell_length_c 6.609
_cell_angle_alpha 90.00
_cell_angle_beta 90.00
_cell_angle_gamma 90.00
loop_
_atom_site_label
_atom_site_type_symbol
_atom_site_fract_x
_atom_site_fract_y
_atom_site_fract_z
Li1 Li 0.112 0.250 0.136
Ac1 Ac 0.028 0.750 0.373
In1 In 0.176 0.555 0.903
```

***

(18)
Density functional theory data (PBE) for Sc3TcHg after structural relaxation.

Cell and atoms, written as CIF:
```
data_Sc3TcHg
_chemical_formula_sum 'Sc3 Tc1 Hg1'
_symmetry_space_group_name_H-M 'P m -3 m'
_symmetry_Int_Tables_number 221
_symmetry_space_group_name_Hall '-P 4 2 3'
_cell_length_a 5.126
_cell_length_b 5.126
_cell_length_c 5.126
_cell_angle_alpha 90.00
_cell_angle_beta 90.00
_cell_angle_gamma 90.00
loop_
_atom_site_label
_atom_site_type_symbol
_atom_site_fract_x
_atom_site_fract_y
_atom_site_fract_z
Sc1 Sc 0.000 0.000 0.500
Tc1 Tc 0.500 0.500 0.500
Hg1 Hg 0.000 0.000 0.000
```

***

(19)
Density functional theory data (PBE) for HgPt2Pb5 after structural relaxation.

Cell and atoms, written as CIF:
```
data_HgPt2Pb5
_chemical_formula_sum 'Hg2 Pt4 Pb10'
_symmetry_space_group_name_H-M 'I m m m'
_symmetry_Int_Tables_number 71
_symmetry_space_group_name_Hall '-I 2 2'
_cell_length_a 3.844
_cell_length_b 7.610
_cell_length_c 14.908
_cell_angle_alpha 90.00
_cell_angle_beta 90.00
_cell_angle_gamma 90.00
loop_
_atom_site_label
_atom_site_type_symbol
_atom_site_fract_x
_atom_site_fract_y
_atom_site_fract_z
Hg1 Hg 0.000 0.000 0.000
Pt1 Pt 0.000 0.500 0.195
Pb1 Pb 0.000 0.269 0.350
Pb2 Pb 0.000 0.500 0.000
```

***

(20)
Density functional theory data (PBE) for LuHfIrPd after structural relaxation.

Cell and atoms, written as CIF:
```
data_LuHfIrPd
_chemical_formula_sum 'Lu4 Hf4 Ir4 Pd4'
_symmetry_space_group_name_H-M 'F -4 3 m'
_symmetry_Int_Tables_number 216
_symmetry_space_group_name_Hall 'F -4 2 3'
_cell_length_a 6.691
_cell_length_b 6.691
_cell_length_c 6.691
_cell_angle_alpha 90.00
_cell_angle_beta 90.00
_cell_angle_gamma 90.00
loop_
_atom_site_label
_atom_site_type_symbol
_atom_site_fract_x
_atom_site_fract_y
_atom_site_fract_z
Lu1 Lu 0.000 0.000 0.000
Hf1 Hf 0.000 0.000 0.500
Ir1 Ir 0.250 0.250 0.250
Pd1 Pd 0.250 0.250 0.750
```

***

| no. | DFT total energy (eV per atom) | V (A^3/atom) |
| --- | --- | --- |
| 1 | -3.84 | 25.938 |
| 2 | -6.45 | 20.453 |
| 3 | -6.05 | 17.725 |
| 4 | -5.70 | 31.955 |
| 5 | -5.26 | 19.398 |
| 6 | -1.87 | 44.706 |
| 7 | -6.99 | 15.531 |
| 8 | -7.46 | 20.143 |
| 9 | -4.74 | 30.590 |
| 10 | -4.07 | 32.511 |
| 11 | -4.50 | 34.875 |
| 12 | -4.68 | 30.468 |
| 13 | -7.29 | 13.363 |
| 14 | -6.30 | 17.025 |
| 15 | -8.04 | 14.511 |
| 16 | -4.04 | 18.200 |
| 17 | -3.25 | 27.474 |
| 18 | -4.88 | 26.931 |
| 19 | -3.97 | 27.255 |
| 20 | -8.02 | 18.720 |